Mn3WO7: optimized geometry, GGA+U.

Calculated values
**E_tot**: -164.99 eV for the cell shown
**Magnetization**: 13.0 μB per formula unit

a b c (Å): 6.0741 6.0741 7.4246
angles (deg): 90.00 90.00 111.54
Fractional positions:
Mn: 0.0006 0.0006 0.0000
Mn: 0.0132 0.4978 0.2501
Mn: 0.4978 0.0132 0.7499
Mn: 0.5022 0.9868 0.2499
Mn: 0.9868 0.5022 0.7501
Mn: 0.9994 0.9994 0.5000
W: 0.5001 0.5001 0.0000
W: 0.4999 0.4999 0.5000
O: 0.1446 0.8554 0.7500
O: 0.1639 0.8361 0.2500
O: 0.1701 0.4251 0.5432
O: 0.1697 0.4250 0.9574
O: 0.4250 0.1697 0.0426
O: 0.4251 0.1701 0.4568
O: 0.4370 0.5630 0.2500
O: 0.5630 0.4370 0.7500
O: 0.5750 0.8303 0.5426
O: 0.5749 0.8299 0.9568
O: 0.8299 0.5749 0.0432
O: 0.8303 0.5750 0.4574
O: 0.8361 0.1639 0.7500
O: 0.8554 0.1446 0.2500